A plane-wave DFT calculation with PBE was carried out for crystalline BaMgAs at its relaxed geometry.

```
data_BaMgAs
_cell_length_a 3.857
_cell_length_b 3.857
_cell_length_c 11.869
_cell_angle_alpha 90.00
_cell_angle_beta 90.00
_cell_angle_gamma 90.00
_symmetry_space_group_name_H-M 'I 4 m m'
_symmetry_Int_Tables_number 107
_symmetry_space_group_name_Hall 'I 4 -2'
loop_
_atom_site_label
_atom_site_fract_x
_atom_site_fract_y
_atom_site_fract_z
Ba1 0.000 0.000 0.000
Mg1 0.000 0.000 0.722
As1 0.000 0.000 0.298
```

=====

A plane-wave DFT calculation with PBE was carried out for crystalline Ba2MgAs at its relaxed geometry.

```
data_Ba2MgAs
_cell_length_a 4.571
_cell_length_b 5.003
_cell_length_c 13.002
_cell_angle_alpha 90.00
_cell_angle_beta 90.00
_cell_angle_gamma 90.00
_symmetry_space_group_name_H-M 'A m m 2'
_symmetry_Int_Tables_number 38
_symmetry_space_group_name_Hall 'A 2 -2'
loop_
_atom_site_label
_atom_site_fract_x
_atom_site_fract_y
_atom_site_fract_z
Ba1 0.000 0.000 0.000
Ba2 0.500 0.000 0.287
Mg1 0.000 0.000 0.695
As1 0.500 0.000 0.567
```

=====

A plane-wave DFT calculation with PBE was carried out for crystalline Ba2MgAs at its relaxed geometry.

```
data_Ba2MgAs
_cell_length_a 8.270
_cell_length_b 8.270
_cell_length_c 8.270
_cell_angle_alpha 90.00
_cell_angle_beta 90.00
_cell_angle_gamma 90.00
_symmetry_space_group_name_H-M 'F m -3 m'
_symmetry_Int_Tables_number 225
_symmetry_space_group_name_Hall '-F 4 2 3'
loop_
_atom_site_label
_atom_site_fract_x
_atom_site_fract_y
_atom_site_fract_z
Ba1 0.250 0.250 0.250
Mg1 0.000 0.000 0.000
As1 0.000 0.000 0.500
```

=====

A plane-wave DFT calculation with PBE was carried out for crystalline Ba3MgAs at its relaxed geometry.

```
data_Ba3MgAs
_cell_length_a 6.400
_cell_length_b 6.400
_cell_length_c 6.400
_cell_angle_alpha 90.00
_cell_angle_beta 90.00
_cell_angle_gamma 90.00
_symmetry_space_group_name_H-M 'P m -3 m'
_symmetry_Int_Tables_number 221
_symmetry_space_group_name_Hall '-P 4 2 3'
loop_
_atom_site_label
_atom_site_fract_x
_atom_site_fract_y
_atom_site_fract_z
Ba1 0.000 0.000 0.500
Mg1 0.500 0.500 0.500
As1 0.000 0.000 0.000
```

=====

Calculated formation energy values (in eV/atom) by entry order: -0.439 -0.609 -0.445 -0.408.
Energy above the lowest structure with this stoichiometry values (in meV per atom) by entry order: 331 0 164 0.